VASP calculation (GGA-PBEsol) on a relaxed structure of AlGaPtAu2.

The structure belongs to space group P4/mmm (No. 123); the cell edges are 4.711, 4.711 and 4.654 Å and the angles 90.00°, 90.00° and 90.00°. The asymmetric unit holds Al at (0.000, 0.000, 0.000), Ga at (0.500, 0.500, 0.500), Pt at (0.500, 0.500, 0.000) and Au at (0.000, 0.500, 0.500).

The total energy is -19.7 eV/cell. The value obtained for the density of states at the Fermi level is 3.1 states/eV per cell.



VASP calculation (GGA-PBEsol) on a relaxed structure of AlGaSiAu2.

The structure belongs to space group P4/mmm (No. 123); the cell edges are 4.805, 4.805 and 4.711 Å and the angles 90.00°, 90.00° and 90.00°. The asymmetric unit holds Al at (0.000, 0.000, 0.000), Ga at (0.500, 0.500, 0.500), Si at (0.500, 0.500, 0.000) and Au at (0.000, 0.500, 0.500).

The total energy is -17.9 eV/cell. The value obtained for the density of states at the Fermi level is 1.4 states/eV per cell. The calculation puts the uncorrected formation energy at 0.623 eV/atom.